Mg4InBi, relaxed, DFT GGA-PBE; excess energy over the best structure of this formula in the dataset = 139 meV per atom; mass density = 4.65 Mg/m³; formation energy from the elements = 40 meV/atom; SG = F-43m
1.0
-5.490 2.022 -1.189
-4.776 -3.040 1.893
-3.388 2.199 4.396
Mg Bi In
4 1 1
Direct
0.625 0.625 0.125 Mg
0.625 0.125 0.625 Mg
0.625 0.625 0.625 Mg
0.125 0.625 0.625 Mg
0.000 0.000 0.000 Bi
0.250 0.250 0.250 In